[1]
First-principles (GGA-PBE) data for crystalline Pm5ZnPt4 at its relaxed geometry, as listed in Alexandria via LeMat-Bulk.

Formation enthalpy at 0 K in eV per atom: -0.927
Symmetry: P4/mmm

a b c (Å): 3.607 3.607 17.923
angles (deg): 90.00 90.00 90.00
Fractional coordinates of all 10 atoms:
1 Pm 0.000 0.000 0.000
2 Pm 0.000 0.000 0.199
3 Pm 0.000 0.000 0.396
4 Pm 0.000 0.000 0.604
5 Pm 0.000 0.000 0.801
6 Zn 0.500 0.500 0.500
7 Pt 0.500 0.500 0.100
8 Pt 0.500 0.500 0.301
9 Pt 0.500 0.500 0.699
10 Pt 0.500 0.500 0.900

[2]
First-principles (GGA-PBE) data for crystalline TmMgCo at its relaxed geometry, as listed in Alexandria via LeMat-Bulk.

Formation enthalpy at 0 K in eV per atom: -0.198
Symmetry: Cmcm

a b c (Å): 3.851 16.980 3.772
angles (deg): 90.00 90.00 90.00
Fractional coordinates of all 12 atoms:
1 Tm 0.000 0.087 0.250
2 Tm 0.000 0.913 0.750
3 Tm 0.500 0.413 0.750
4 Tm 0.500 0.587 0.250
5 Mg 0.000 0.298 0.250
6 Mg 0.000 0.702 0.750
7 Mg 0.500 0.202 0.750
8 Mg 0.500 0.798 0.250
9 Co 0.000 0.462 0.250
10 Co 0.000 0.538 0.750
11 Co 0.500 0.038 0.750
12 Co 0.500 0.962 0.250

[3]
First-principles (GGA-PBE) data for crystalline Nd2SmSc at its relaxed geometry, as listed in Alexandria via LeMat-Bulk.

Formation enthalpy at 0 K in eV per atom: 0.044
Symmetry: C2/m

a b c (Å): 11.700 3.592 6.154
angles (deg): 90.00 100.50 90.00
Fractional coordinates of all 8 atoms:
1 Nd 0.243 0.000 0.245
2 Nd 0.257 0.500 0.755
3 Nd 0.743 0.500 0.245
4 Nd 0.757 0.000 0.755
5 Sm 0.000 0.000 0.500
6 Sm 0.500 0.500 0.500
7 Sc 0.000 0.500 0.000
8 Sc 0.500 0.000 0.000

[4]
First-principles (GGA-PBE) data for crystalline Th3In5O12 at its relaxed geometry, as listed in Alexandria via LeMat-Bulk.

Energy relative to the elements, uncorrected in eV/atom: -2.222
Symmetry: Ia-3d

a b c (Å): 11.708 11.708 11.708
angles (deg): 109.47 109.47 109.47
Fractional coordinates of all 80 atoms:
1 Th 0.125 0.250 0.375
2 Th 0.125 0.375 0.750
3 Th 0.250 0.375 0.125
4 Th 0.250 0.875 0.625
5 Th 0.375 0.125 0.250
6 Th 0.375 0.750 0.125
7 Th 0.625 0.250 0.875
8 Th 0.625 0.875 0.750
9 Th 0.750 0.125 0.375
10 Th 0.750 0.625 0.875
11 Th 0.875 0.625 0.250
12 Th 0.875 0.750 0.625
13 In 0.000 0.000 0.000
14 In 0.000 0.000 0.500
15 In 0.000 0.500 0.000
16 In 0.000 0.500 0.500
17 In 0.125 0.750 0.875
18 In 0.125 0.875 0.250
19 In 0.250 0.125 0.875
20 In 0.250 0.625 0.375
21 In 0.375 0.250 0.625
22 In 0.375 0.625 0.750
23 In 0.500 0.000 0.000
24 In 0.500 0.000 0.500
25 In 0.500 0.500 0.000
26 In 0.500 0.500 0.500
27 In 0.625 0.375 0.250
28 In 0.625 0.750 0.375
29 In 0.750 0.375 0.625
30 In 0.750 0.875 0.125
31 In 0.875 0.125 0.750
32 In 0.875 0.250 0.125
33 O 0.050 0.220 0.137
34 O 0.050 0.330 0.913
35 O 0.083 0.720 0.670
36 O 0.083 0.863 0.413
37 O 0.087 0.637 0.417
38 O 0.087 0.950 0.670
39 O 0.137 0.050 0.220
40 O 0.137 0.587 0.917
41 O 0.170 0.220 0.583
42 O 0.170 0.450 0.587
43 O 0.220 0.137 0.050
44 O 0.220 0.583 0.170
45 O 0.280 0.330 0.917
46 O 0.280 0.450 0.363
47 O 0.330 0.913 0.050
48 O 0.330 0.917 0.280
49 O 0.363 0.280 0.450
50 O 0.363 0.583 0.913
51 O 0.413 0.083 0.863
52 O 0.413 0.830 0.550
53 O 0.417 0.087 0.637
54 O 0.417 0.830 0.780
55 O 0.450 0.363 0.280
56 O 0.450 0.587 0.170
57 O 0.550 0.413 0.830
58 O 0.550 0.637 0.720
59 O 0.583 0.170 0.220
60 O 0.583 0.913 0.363
61 O 0.587 0.170 0.450
62 O 0.587 0.917 0.137
63 O 0.637 0.417 0.087
64 O 0.637 0.720 0.550
65 O 0.670 0.083 0.720
66 O 0.670 0.087 0.950
67 O 0.720 0.550 0.637
68 O 0.720 0.670 0.083
69 O 0.780 0.417 0.830
70 O 0.780 0.863 0.950
71 O 0.830 0.550 0.413
72 O 0.830 0.780 0.417
73 O 0.863 0.413 0.083
74 O 0.863 0.950 0.780
75 O 0.913 0.050 0.330
76 O 0.913 0.363 0.583
77 O 0.917 0.137 0.587
78 O 0.917 0.280 0.330
79 O 0.950 0.670 0.087
80 O 0.950 0.780 0.863

[5]
First-principles (GGA-PBE) data for crystalline Ca2TmSb3Pt4 at its relaxed geometry, as listed in Alexandria via LeMat-Bulk.

Energy relative to the elements, uncorrected in eV/atom: -0.871
Symmetry: P-4m2

a b c (Å): 4.513 4.513 11.407
angles (deg): 90.00 90.00 90.00
Fractional coordinates of all 10 atoms:
1 Ca 0.000 0.500 0.221
2 Ca 0.500 0.000 0.779
3 Tm 0.000 0.000 0.500
4 Sb 0.000 0.500 0.870
5 Sb 0.500 0.000 0.130
6 Sb 0.500 0.500 0.500
7 Pt 0.000 0.000 0.000
8 Pt 0.000 0.500 0.643
9 Pt 0.500 0.000 0.357
10 Pt 0.500 0.500 0.000

[6]
First-principles (GGA-PBE) data for crystalline CsSr3H at its relaxed geometry, as listed in Alexandria via LeMat-Bulk.

Electronic total energy in eV per cell: -8.78
Symmetry: Pm-3m

a b c (Å): 6.107 6.107 6.107
angles (deg): 90.00 90.00 90.00
Fractional coordinates of all 5 atoms:
1 Cs 0.000 0.000 0.000
2 Sr 0.000 0.500 0.500
3 Sr 0.500 0.000 0.500
4 Sr 0.500 0.500 0.000
5 H 0.500 0.500 0.500

[7]
First-principles (GGA-PBE) data for crystalline LiPuHg2O5 at its relaxed geometry, as listed in Alexandria via LeMat-Bulk.

Energy relative to the elements, uncorrected in eV/atom: -1.487
Symmetry: Cmc2_1

a b c (Å): 6.764 6.764 11.956
angles (deg): 90.00 90.00 150.13
Fractional coordinates of all 18 atoms:
1 Li 0.027 0.973 0.500
2 Li 0.973 0.027 0.000
3 Pu 0.257 0.743 0.057
4 Pu 0.743 0.257 0.557
5 Hg 0.380 0.620 0.322
6 Hg 0.388 0.612 0.775
7 Hg 0.612 0.388 0.275
8 Hg 0.620 0.380 0.822
9 O 0.004 0.996 0.332
10 O 0.114 0.886 0.061
11 O 0.239 0.761 0.683
12 O 0.243 0.757 0.439
13 O 0.402 0.598 0.051
14 O 0.598 0.402 0.551
15 O 0.757 0.243 0.939
16 O 0.761 0.239 0.183
17 O 0.886 0.114 0.561
18 O 0.996 0.004 0.832

[8]
First-principles (GGA-PBE) data for crystalline NdIn3Br6 at its relaxed geometry, as listed in Alexandria via LeMat-Bulk.

Energy relative to the elements, uncorrected in eV/atom: -1.150
Symmetry: P2_1/c

a b c (Å): 7.748 8.753 13.333
angles (deg): 90.00 121.56 90.00
Fractional coordinates of all 20 atoms:
1 Nd 0.000 0.000 0.000
2 Nd 0.000 0.500 0.500
3 In 0.304 0.082 0.778
4 In 0.304 0.418 0.278
5 In 0.500 0.000 0.500
6 In 0.500 0.500 0.000
7 In 0.696 0.582 0.722
8 In 0.696 0.918 0.222
9 Br 0.089 0.071 0.236
10 Br 0.089 0.429 0.736
11 Br 0.249 0.726 0.088
12 Br 0.249 0.774 0.588
13 Br 0.358 0.165 0.042
14 Br 0.358 0.335 0.542
15 Br 0.642 0.665 0.458
16 Br 0.642 0.835 0.958
17 Br 0.751 0.226 0.412
18 Br 0.751 0.274 0.912
19 Br 0.911 0.571 0.264
20 Br 0.911 0.929 0.764

[9]
First-principles (GGA-PBE) data for crystalline NbZn2Tc2 at its relaxed geometry, as listed in Alexandria via LeMat-Bulk.

Formation enthalpy at 0 K in eV per atom: 0.131
Symmetry: P4/mbm

a b c (Å): 6.807 6.807 3.253
angles (deg): 90.00 90.00 90.00
Fractional coordinates of all 10 atoms:
1 Nb 0.000 0.000 0.000
2 Nb 0.500 0.500 0.000
3 Zn 0.123 0.377 0.000
4 Zn 0.377 0.877 0.000
5 Zn 0.623 0.123 0.000
6 Zn 0.877 0.623 0.000
7 Tc 0.177 0.677 0.500
8 Tc 0.323 0.177 0.500
9 Tc 0.677 0.823 0.500
10 Tc 0.823 0.323 0.500

[10]
First-principles (GGA-PBE) data for crystalline Sm3YErTm at its relaxed geometry, as listed in Alexandria via LeMat-Bulk.

Formation enthalpy at 0 K in eV per atom: 0.021
Symmetry: Cmcm

a b c (Å): 8.001 8.001 10.113
angles (deg): 90.00 90.00 143.20
Fractional coordinates of all 12 atoms:
1 Sm 0.166 0.834 0.000
2 Sm 0.166 0.834 0.500
3 Sm 0.333 0.667 0.750
4 Sm 0.667 0.333 0.250
5 Sm 0.834 0.166 0.000
6 Sm 0.834 0.166 0.500
7 Y 0.500 0.500 0.000
8 Y 0.500 0.500 0.500
9 Er 0.001 0.999 0.750
10 Er 0.999 0.001 0.250
11 Tm 0.334 0.666 0.250
12 Tm 0.666 0.334 0.750

[11]
First-principles (GGA-PBE) data for crystalline ScZnCo at its relaxed geometry, as listed in Alexandria via LeMat-Bulk.

Formation enthalpy at 0 K in eV per atom: 0.444
Symmetry: F-43m

a b c (Å): 6.060 6.060 6.060
angles (deg): 90.00 90.00 90.00
Fractional coordinates of all 12 atoms:
1 Sc 0.000 0.000 0.000
2 Sc 0.000 0.500 0.500
3 Sc 0.500 0.000 0.500
4 Sc 0.500 0.500 0.000
5 Zn 0.250 0.250 0.750
6 Zn 0.250 0.750 0.250
7 Zn 0.750 0.250 0.250
8 Zn 0.750 0.750 0.750
9 Co 0.250 0.250 0.250
10 Co 0.250 0.750 0.750
11 Co 0.750 0.250 0.750
12 Co 0.750 0.750 0.250

[12]
First-principles (GGA-PBE) data for crystalline BaCa2DyTl4 at its relaxed geometry, as listed in Alexandria via LeMat-Bulk.

Formation enthalpy at 0 K in eV per atom: -0.377
Symmetry: R-3m

a b c (Å): 9.955 9.955 9.955
angles (deg): 32.44 32.44 32.44
Fractional coordinates of all 8 atoms:
1 Ba 0.000 0.000 0.000
2 Ca 0.246 0.246 0.246
3 Ca 0.754 0.754 0.754
4 Dy 0.500 0.500 0.500
5 Tl 0.128 0.128 0.128
6 Tl 0.386 0.386 0.386
7 Tl 0.614 0.614 0.614
8 Tl 0.872 0.872 0.872

[13]
First-principles (GGA-PBE) data for crystalline Zr3RhW at its relaxed geometry, as listed in Alexandria via LeMat-Bulk.

Formation enthalpy at 0 K in eV per atom: 0.843
Symmetry: Pm-3m

a b c (Å): 4.926 4.926 4.926
angles (deg): 90.00 90.00 90.00
Fractional coordinates of all 5 atoms:
1 Zr 0.000 0.000 0.500
2 Zr 0.000 0.500 0.000
3 Zr 0.500 0.000 0.000
4 Rh 0.000 0.000 0.000
5 W 0.500 0.500 0.500

[14]
First-principles (GGA-PBE) data for crystalline SmDyTm2 at its relaxed geometry, as listed in Alexandria via LeMat-Bulk.

Formation enthalpy at 0 K in eV per atom: 0.018
Symmetry: R3m

a b c (Å): 3.559 3.559 34.269
angles (deg): 90.00 90.00 120.00
Fractional coordinates of all 12 atoms:
1 Sm 0.000 0.000 0.000
2 Sm 0.333 0.667 0.667
3 Sm 0.667 0.333 0.333
4 Dy 0.000 0.000 0.834
5 Dy 0.333 0.667 0.501
6 Dy 0.667 0.333 0.168
7 Tm 0.000 0.000 0.250
8 Tm 0.000 0.000 0.418
9 Tm 0.333 0.667 0.085
10 Tm 0.333 0.667 0.916
11 Tm 0.667 0.333 0.583
12 Tm 0.667 0.333 0.752

[15]
First-principles (GGA-PBE) data for crystalline Zn2Pd2Au at its relaxed geometry, as listed in Alexandria via LeMat-Bulk.

Formation enthalpy at 0 K in eV per atom: -0.371
Symmetry: P4/mbm

a b c (Å): 7.299 7.299 2.921
angles (deg): 90.00 90.00 90.00
Fractional coordinates of all 10 atoms:
1 Zn 0.141 0.359 0.000
2 Zn 0.359 0.859 0.000
3 Zn 0.641 0.141 0.000
4 Zn 0.859 0.641 0.000
5 Pd 0.155 0.655 0.500
6 Pd 0.345 0.155 0.500
7 Pd 0.655 0.845 0.500
8 Pd 0.845 0.345 0.500
9 Au 0.000 0.000 0.000
10 Au 0.500 0.500 0.000

[16]
First-principles (GGA-PBE) data for crystalline NaLiCaBr4 at its relaxed geometry, as listed in Alexandria via LeMat-Bulk.

Energy relative to the elements, uncorrected in eV/atom: -1.753
Symmetry: Imma

a b c (Å): 8.426 8.426 8.426
angles (deg): 121.26 118.99 89.80
Fractional coordinates of all 14 atoms:
1 Na 0.500 0.000 0.000
2 Na 0.500 0.500 0.500
3 Li 0.110 0.360 0.750
4 Li 0.890 0.640 0.250
5 Ca 0.000 0.000 0.000
6 Ca 0.500 0.000 0.500
7 Br 0.245 0.242 0.002
8 Br 0.248 0.242 0.494
9 Br 0.248 0.754 0.006
10 Br 0.260 0.758 0.502
11 Br 0.740 0.242 0.498
12 Br 0.752 0.246 0.994
13 Br 0.752 0.758 0.506
14 Br 0.755 0.758 0.998

[17]
First-principles (GGA-PBE) data for crystalline La3NdAg3 at its relaxed geometry, as listed in Alexandria via LeMat-Bulk.

Formation enthalpy at 0 K in eV per atom: -0.126
Symmetry: C2/m

a b c (Å): 7.602 7.602 7.233
angles (deg): 90.01 90.01 92.36
Fractional coordinates of all 14 atoms:
1 La 0.183 0.817 0.000
2 La 0.281 0.719 0.500
3 La 0.362 0.362 0.096
4 La 0.638 0.638 0.904
5 La 0.719 0.281 0.500
6 La 0.817 0.183 0.000
7 Nd 0.246 0.246 0.628
8 Nd 0.754 0.754 0.372
9 Ag 0.011 0.469 0.261
10 Ag 0.064 0.064 0.315
11 Ag 0.469 0.011 0.261
12 Ag 0.531 0.989 0.739
13 Ag 0.936 0.936 0.685
14 Ag 0.989 0.531 0.739

[18]
First-principles (GGA-PBE) data for crystalline Mg2TcHW at its relaxed geometry, as listed in Alexandria via LeMat-Bulk.

Electronic total energy in eV per cell: -21.22
Symmetry: P4/mmm

a b c (Å): 5.435 5.435 4.506
angles (deg): 90.00 90.00 90.00
Fractional coordinates of all 5 atoms:
1 Mg 0.000 0.500 0.000
2 Mg 0.500 0.000 0.000
3 Tc 0.000 0.000 0.500
4 H 0.500 0.500 0.500
5 W 0.000 0.000 0.000

[19]
First-principles (GGA-PBE) data for crystalline Ti4NiHg at its relaxed geometry, as listed in Alexandria via LeMat-Bulk.

Formation enthalpy at 0 K in eV per atom: -0.183
Symmetry: P4/mmm

a b c (Å): 2.997 2.997 11.102
angles (deg): 90.00 90.00 90.00
Fractional coordinates of all 6 atoms:
1 Ti 0.000 0.000 0.139
2 Ti 0.000 0.000 0.861
3 Ti 0.500 0.500 0.307
4 Ti 0.500 0.500 0.693
5 Ni 0.500 0.500 0.000
6 Hg 0.000 0.000 0.500

[20]
First-principles (GGA-PBE) data for crystalline Na3Cd2Bi4Pd2 at its relaxed geometry, as listed in Alexandria via LeMat-Bulk.

Formation enthalpy at 0 K in eV per atom: -0.221
Symmetry: P-3m1

a b c (Å): 5.010 5.010 13.400
angles (deg): 90.00 90.00 120.00
Fractional coordinates of all 11 atoms:
1 Na 0.000 0.000 0.000
2 Na 0.000 0.000 0.304
3 Na 0.000 0.000 0.696
4 Cd 0.333 0.667 0.195
5 Cd 0.667 0.333 0.805
6 Bi 0.333 0.667 0.438
7 Bi 0.333 0.667 0.861
8 Bi 0.667 0.333 0.139
9 Bi 0.667 0.333 0.562
10 Pd 0.333 0.667 0.649
11 Pd 0.667 0.333 0.351